Entry 1:
The following is a DFT calculation (PBE+U) of a relaxed CsVRuO6 crystal.

Cell: 5.062 5.269 6.704 Å, 88.85 87.88 61.32°
Space group P1 (No. 1)
Asymmetric unit:
Cs 0.000 0.000 0.000 (multiplicity 1)
V 0.330 0.323 0.472 (multiplicity 1)
Ru 0.661 0.679 0.524 (multiplicity 1)
O 0.003 0.403 0.668 (multiplicity 1)
O 0.381 0.005 0.345 (multiplicity 1)
O 0.406 0.578 0.667 (multiplicity 1)
O 0.596 0.396 0.339 (multiplicity 1)
O 0.599 0.001 0.664 (multiplicity 1)
O 0.993 0.593 0.337 (multiplicity 1)

Calculated volume in A^3/atom: 17.4
Magnetization in μB/f.u.: 2.02
Total energy in eV per atom: -6.626
D(E_F) in states/eV per cell: 0.40

***

Entry 2:
The following is a DFT calculation (PBE+U) of a relaxed CsRuWO6 crystal.

Cell: 5.2977 5.2977 6.7913 Å, 90.00 90.00 120.00°
Space group P312 (No. 149)
Asymmetric unit:
Cs 0.0000 0.0000 0.0000 (multiplicity 1)
Ru 0.3333 0.6667 0.5000 (multiplicity 1)
W 0.6667 0.3333 0.5000 (multiplicity 1)
O 0.3909 0.0033 0.6619 (multiplicity 6)

Calculated volume in A^3/atom: 18.3
Magnetization in μB/f.u.: 3.03
Total energy in eV per atom: -6.770
D(E_F) in states/eV per cell: 0.48